1.
Compound: Hg4C3
Source: Alexandria
Functional: PBE
Structure: relaxed

```
data_Hg4C3
_chemical_formula_sum 'Hg4 C3'
_cell_length_a 11.848
_cell_length_b 11.848
_cell_length_c 11.848
_cell_angle_alpha 164.23
_cell_angle_beta 164.23
_cell_angle_gamma 22.38
_symmetry_space_group_name_H-M 'P 1'
_symmetry_Int_Tables_number 1
loop_
_symmetry_equiv_pos_as_xyz
'x,y,z'
loop_
_atom_site_label
_atom_site_type_symbol
_atom_site_fract_x
_atom_site_fract_y
_atom_site_fract_z
_atom_site_occupancy
Hg1 Hg 0.179 0.179 0.000 1
Hg2 Hg 0.821 0.821 0.000 1
Hg3 Hg 0.437 0.437 0.000 1
Hg4 Hg 0.563 0.563 0.000 1
C1 C 0.000 0.000 0.000 1
C2 C 0.338 0.338 0.000 1
C3 C 0.662 0.662 0.000 1
```

2.
Compound: Hg4C3
Source: Alexandria
Functional: PBE
Structure: relaxed

```
data_Hg4C3
_chemical_formula_sum 'Hg4 C3'
_cell_length_a 4.389
_cell_length_b 4.389
_cell_length_c 8.142
_cell_angle_alpha 90.00
_cell_angle_beta 90.00
_cell_angle_gamma 120.00
_symmetry_space_group_name_H-M 'P 1'
_symmetry_Int_Tables_number 1
loop_
_symmetry_equiv_pos_as_xyz
'x,y,z'
loop_
_atom_site_label
_atom_site_type_symbol
_atom_site_fract_x
_atom_site_fract_y
_atom_site_fract_z
_atom_site_occupancy
Hg1 Hg 0.000 0.000 0.216 1
Hg2 Hg 0.000 0.000 0.784 1
Hg3 Hg 0.667 0.333 0.500 1
Hg4 Hg 0.333 0.667 0.500 1
C1 C 0.000 0.500 0.000 1
C2 C 0.500 0.500 0.000 1
C3 C 0.500 0.000 0.000 1
```

3.
Compound: Hg4C3
Source: Alexandria
Functional: PBE
Structure: relaxed

```
data_Hg4C3
_chemical_formula_sum 'Hg4 C3'
_cell_length_a 5.384
_cell_length_b 5.384
_cell_length_c 5.384
_cell_angle_alpha 90.00
_cell_angle_beta 90.00
_cell_angle_gamma 90.00
_symmetry_space_group_name_H-M 'P 1'
_symmetry_Int_Tables_number 1
loop_
_symmetry_equiv_pos_as_xyz
'x,y,z'
loop_
_atom_site_label
_atom_site_type_symbol
_atom_site_fract_x
_atom_site_fract_y
_atom_site_fract_z
_atom_site_occupancy
Hg1 Hg 0.286 0.714 0.286 1
Hg2 Hg 0.714 0.286 0.286 1
Hg3 Hg 0.714 0.714 0.714 1
Hg4 Hg 0.286 0.286 0.714 1
C1 C 0.500 0.000 0.500 1
C2 C 0.500 0.500 0.000 1
C3 C 0.000 0.500 0.500 1
```

4.
Compound: Hg4C3
Source: Alexandria
Functional: PBE
Structure: relaxed

```
data_Hg4C3
_chemical_formula_sum 'Hg4 C3'
_cell_length_a 4.893
_cell_length_b 4.893
_cell_length_c 4.893
_cell_angle_alpha 90.00
_cell_angle_beta 90.00
_cell_angle_gamma 90.00
_symmetry_space_group_name_H-M 'P 1'
_symmetry_Int_Tables_number 1
loop_
_symmetry_equiv_pos_as_xyz
'x,y,z'
loop_
_atom_site_label
_atom_site_type_symbol
_atom_site_fract_x
_atom_site_fract_y
_atom_site_fract_z
_atom_site_occupancy
Hg1 Hg 0.000 0.000 0.000 1
Hg2 Hg 0.000 0.500 0.500 1
Hg3 Hg 0.500 0.000 0.500 1
Hg4 Hg 0.500 0.500 0.000 1
C1 C 0.000 0.500 0.000 1
C2 C 0.000 0.000 0.500 1
C3 C 0.500 0.000 0.000 1
```

Name the least stable of them. 2.

1.
Compound: Hg3C5
Source: Alexandria
Functional: PBE
Structure: relaxed

```
data_Hg3C5
_chemical_formula_sum 'Hg6 C10'
_cell_length_a 7.879
_cell_length_b 7.874
_cell_length_c 8.417
_cell_angle_alpha 82.05
_cell_angle_beta 82.02
_cell_angle_gamma 134.74
_symmetry_space_group_name_H-M 'P 1'
_symmetry_Int_Tables_number 1
loop_
_symmetry_equiv_pos_as_xyz
'x,y,z'
loop_
_atom_site_label
_atom_site_type_symbol
_atom_site_fract_x
_atom_site_fract_y
_atom_site_fract_z
_atom_site_occupancy
C1 C 0.843 0.027 0.500 1
C2 C 0.533 0.717 0.500 1
C3 C 0.117 0.705 0.242 1
C4 C 0.771 0.378 0.914 1
C5 C 0.593 0.837 0.631 1
C6 C 0.462 0.181 0.421 1
C7 C 0.185 0.792 0.086 1
C8 C 0.859 0.447 0.758 1
C9 C 0.383 0.102 0.579 1
C10 C 0.724 0.967 0.369 1
Hg1 Hg 0.492 0.635 0.934 1
Hg2 Hg 0.925 0.068 0.066 1
Hg3 Hg 0.217 0.343 0.500 1
Hg4 Hg 0.990 0.573 0.500 1
Hg5 Hg 0.619 0.276 0.168 1
Hg6 Hg 0.287 0.945 0.832 1
```

2.
Compound: Hg3C5
Source: Alexandria
Functional: PBE
Structure: relaxed

```
data_Hg3C5
_chemical_formula_sum 'Hg6 C10'
_cell_length_a 7.579
_cell_length_b 7.574
_cell_length_c 6.017
_cell_angle_alpha 90.00
_cell_angle_beta 90.00
_cell_angle_gamma 120.08
_symmetry_space_group_name_H-M 'P 1'
_symmetry_Int_Tables_number 1
loop_
_symmetry_equiv_pos_as_xyz
'x,y,z'
loop_
_atom_site_label
_atom_site_type_symbol
_atom_site_fract_x
_atom_site_fract_y
_atom_site_fract_z
_atom_site_occupancy
C1 C 0.333 0.666 0.013 1
C2 C 0.667 0.334 0.357 1
C3 C 0.667 0.334 0.143 1
C4 C 0.333 0.666 0.487 1
C5 C 0.010 0.900 0.250 1
C6 C 0.009 0.109 0.750 1
C7 C 0.101 0.111 0.250 1
C8 C 0.889 0.991 0.250 1
C9 C 0.100 0.990 0.750 1
C10 C 0.890 0.899 0.750 1
Hg1 Hg 0.581 0.964 0.250 1
Hg2 Hg 0.312 0.891 0.750 1
Hg3 Hg 0.039 0.620 0.250 1
Hg4 Hg 0.383 0.420 0.250 1
Hg5 Hg 0.579 0.687 0.750 1
Hg6 Hg 0.108 0.420 0.750 1
```

Name the least stable of them. 2.

1.
Compound: Ho6Hg2C
Source: Alexandria
Functional: PBE
Structure: relaxed

```
data_Ho6Hg2C
_chemical_formula_sum 'Ho12 Hg4 C2'
_cell_length_a 6.784
_cell_length_b 6.784
_cell_length_c 11.497
_cell_angle_alpha 90.00
_cell_angle_beta 90.00
_cell_angle_gamma 90.00
_symmetry_space_group_name_H-M 'P 1'
_symmetry_Int_Tables_number 1
loop_
_symmetry_equiv_pos_as_xyz
'x,y,z'
loop_
_atom_site_label
_atom_site_type_symbol
_atom_site_fract_x
_atom_site_fract_y
_atom_site_fract_z
_atom_site_occupancy
Ho1 Ho 0.310 0.310 0.351 1
Ho2 Ho 0.690 0.690 0.351 1
Ho3 Ho 0.190 0.810 0.851 1
Ho4 Ho 0.810 0.190 0.851 1
Ho5 Ho 0.190 0.810 0.149 1
Ho6 Ho 0.810 0.190 0.149 1
Ho7 Ho 0.310 0.310 0.649 1
Ho8 Ho 0.690 0.690 0.649 1
Ho9 Ho 0.247 0.247 0.000 1
Ho10 Ho 0.753 0.753 0.000 1
Ho11 Ho 0.253 0.747 0.500 1
Ho12 Ho 0.747 0.253 0.500 1
Hg1 Hg 0.000 0.000 0.353 1
Hg2 Hg 0.500 0.500 0.853 1
Hg3 Hg 0.500 0.500 0.147 1
Hg4 Hg 0.000 0.000 0.647 1
C1 C 0.000 0.000 0.000 1
C2 C 0.500 0.500 0.500 1
```

2.
Compound: Ho6Hg2C
Source: Alexandria
Functional: PBE
Structure: relaxed

```
data_Ho6Hg2C
_chemical_formula_sum 'Ho12 Hg4 C2'
_cell_length_a 6.887
_cell_length_b 6.885
_cell_length_c 9.707
_cell_angle_alpha 90.00
_cell_angle_beta 90.05
_cell_angle_gamma 90.00
_symmetry_space_group_name_H-M 'P 1'
_symmetry_Int_Tables_number 1
loop_
_symmetry_equiv_pos_as_xyz
'x,y,z'
loop_
_atom_site_label
_atom_site_type_symbol
_atom_site_fract_x
_atom_site_fract_y
_atom_site_fract_z
_atom_site_occupancy
Ho1 Ho 0.919 0.998 0.256 1
Ho2 Ho 0.761 0.750 0.542 1
Ho3 Ho 0.748 0.741 0.957 1
Ho4 Ho 0.752 0.241 0.543 1
Ho5 Ho 0.739 0.250 0.958 1
Ho6 Ho 0.581 0.498 0.244 1
Ho7 Ho 0.081 0.002 0.744 1
Ho8 Ho 0.239 0.250 0.458 1
Ho9 Ho 0.252 0.259 0.043 1
Ho10 Ho 0.248 0.759 0.457 1
Ho11 Ho 0.261 0.750 0.042 1
Ho12 Ho 0.419 0.502 0.756 1
Hg1 Hg 0.990 0.495 0.749 1
Hg2 Hg 0.510 0.995 0.751 1
Hg3 Hg 0.490 0.005 0.249 1
Hg4 Hg 0.010 0.505 0.251 1
C1 C 0.500 0.500 0.000 1
C2 C 0.000 0.000 0.500 1
```

Name the least stable of them. 1.

1.
Compound: Hg2CI
Source: Alexandria
Functional: PBE
Structure: relaxed

```
data_Hg2CI
_chemical_formula_sum 'Hg4 C2 I2'
_cell_length_a 6.958
_cell_length_b 6.958
_cell_length_c 6.960
_cell_angle_alpha 60.01
_cell_angle_beta 60.01
_cell_angle_gamma 90.00
_symmetry_space_group_name_H-M 'P 1'
_symmetry_Int_Tables_number 1
loop_
_symmetry_equiv_pos_as_xyz
'x,y,z'
loop_
_atom_site_label
_atom_site_type_symbol
_atom_site_fract_x
_atom_site_fract_y
_atom_site_fract_z
_atom_site_occupancy
I1 I 0.000 0.000 0.000 1
I2 I 0.750 0.250 0.500 1
C1 C 0.500 0.500 0.000 1
C2 C 0.250 0.750 0.500 1
Hg1 Hg 0.375 0.125 0.250 1
Hg2 Hg 0.375 0.625 0.250 1
Hg3 Hg 0.375 0.625 0.750 1
Hg4 Hg 0.875 0.625 0.750 1
```

2.
Compound: Hg2CI
Source: Alexandria
Functional: PBE
Structure: relaxed

```
data_Hg2CI
_chemical_formula_sum 'Hg2 C1 I1'
_cell_length_a 5.292
_cell_length_b 5.292
_cell_length_c 5.292
_cell_angle_alpha 60.00
_cell_angle_beta 60.00
_cell_angle_gamma 60.00
_symmetry_space_group_name_H-M 'P 1'
_symmetry_Int_Tables_number 1
loop_
_symmetry_equiv_pos_as_xyz
'x,y,z'
loop_
_atom_site_label
_atom_site_type_symbol
_atom_site_fract_x
_atom_site_fract_y
_atom_site_fract_z
_atom_site_occupancy
I1 I 0.500 0.500 0.500 1
C1 C 0.000 0.000 0.000 1
Hg1 Hg 0.250 0.250 0.250 1
Hg2 Hg 0.750 0.750 0.750 1
```

Name the least stable of them. 2.

1.
Compound: HgCI3
Source: Alexandria
Functional: PBE
Structure: relaxed

```
data_HgCI3
_chemical_formula_sum 'Hg1 C1 I3'
_cell_length_a 5.917
_cell_length_b 5.917
_cell_length_c 5.917
_cell_angle_alpha 90.00
_cell_angle_beta 90.00
_cell_angle_gamma 90.00
_symmetry_space_group_name_H-M 'P 1'
_symmetry_Int_Tables_number 1
loop_
_symmetry_equiv_pos_as_xyz
'x,y,z'
loop_
_atom_site_label
_atom_site_type_symbol
_atom_site_fract_x
_atom_site_fract_y
_atom_site_fract_z
_atom_site_occupancy
I1 I 0.000 0.500 0.000 1
I2 I 0.000 0.000 0.500 1
I3 I 0.500 0.000 0.000 1
C1 C 0.500 0.500 0.500 1
Hg1 Hg 0.000 0.000 0.000 1
```

2.
Compound: HgCI3
Source: Alexandria
Functional: PBE
Structure: relaxed

```
data_HgCI3
_chemical_formula_sum 'Hg1 C1 I3'
_cell_length_a 5.191
_cell_length_b 5.191
_cell_length_c 5.191
_cell_angle_alpha 90.00
_cell_angle_beta 90.00
_cell_angle_gamma 90.00
_symmetry_space_group_name_H-M 'P 1'
_symmetry_Int_Tables_number 1
loop_
_symmetry_equiv_pos_as_xyz
'x,y,z'
loop_
_atom_site_label
_atom_site_type_symbol
_atom_site_fract_x
_atom_site_fract_y
_atom_site_fract_z
_atom_site_occupancy
I1 I 0.000 0.500 0.000 1
I2 I 0.000 0.000 0.500 1
I3 I 0.500 0.000 0.000 1
C1 C 0.000 0.000 0.000 1
Hg1 Hg 0.500 0.500 0.500 1
```

Name the least stable of them. 1.

1.
Compound: HgC2I
Source: Alexandria
Functional: PBE
Structure: relaxed

```
data_HgC2I
_chemical_formula_sum 'Hg1 C2 I1'
_cell_length_a 4.538
_cell_length_b 4.538
_cell_length_c 4.538
_cell_angle_alpha 60.00
_cell_angle_beta 60.00
_cell_angle_gamma 60.00
_symmetry_space_group_name_H-M 'P 1'
_symmetry_Int_Tables_number 1
loop_
_symmetry_equiv_pos_as_xyz
'x,y,z'
loop_
_atom_site_label
_atom_site_type_symbol
_atom_site_fract_x
_atom_site_fract_y
_atom_site_fract_z
_atom_site_occupancy
I1 I 0.000 0.000 0.000 1
C1 C 0.250 0.250 0.250 1
C2 C 0.750 0.750 0.750 1
Hg1 Hg 0.500 0.500 0.500 1
```

2.
Compound: HgC2I
Source: Alexandria
Functional: PBE
Structure: relaxed

```
data_HgC2I
_chemical_formula_sum 'Hg2 C4 I2'
_cell_length_a 5.222
_cell_length_b 5.222
_cell_length_c 6.688
_cell_angle_alpha 67.02
_cell_angle_beta 67.02
_cell_angle_gamma 90.00
_symmetry_space_group_name_H-M 'P 1'
_symmetry_Int_Tables_number 1
loop_
_symmetry_equiv_pos_as_xyz
'x,y,z'
loop_
_atom_site_label
_atom_site_type_symbol
_atom_site_fract_x
_atom_site_fract_y
_atom_site_fract_z
_atom_site_occupancy
I1 I 0.500 0.500 0.000 1
I2 I 0.250 0.750 0.500 1
C1 C 0.617 0.125 0.250 1
C2 C 0.133 0.625 0.250 1
C3 C 0.375 0.383 0.750 1
C4 C 0.875 0.867 0.750 1
Hg1 Hg 0.000 0.000 0.000 1
Hg2 Hg 0.750 0.250 0.500 1
```

Name the least stable of them. 1.

1.
Compound: HgCI2O
Source: Alexandria
Functional: PBE
Structure: relaxed

```
data_HgCI2O
_chemical_formula_sum 'Hg1 C1 I2 O1'
_cell_length_a 7.024
_cell_length_b 7.024
_cell_length_c 2.927
_cell_angle_alpha 90.00
_cell_angle_beta 90.00
_cell_angle_gamma 90.00
_symmetry_space_group_name_H-M 'P 1'
_symmetry_Int_Tables_number 1
loop_
_symmetry_equiv_pos_as_xyz
'x,y,z'
loop_
_atom_site_label
_atom_site_type_symbol
_atom_site_fract_x
_atom_site_fract_y
_atom_site_fract_z
_atom_site_occupancy
I1 I 0.000 0.500 0.000 1
I2 I 0.500 0.000 0.000 1
C1 C 0.000 0.000 0.000 1
Hg1 Hg 0.500 0.500 0.500 1
O1 O 0.000 0.000 0.500 1
```

2.
Compound: HgCI2O
Source: Alexandria
Functional: PBE
Structure: relaxed

```
data_HgCI2O
_chemical_formula_sum 'Hg1 C1 I2 O1'
_cell_length_a 5.966
_cell_length_b 5.966
_cell_length_c 4.079
_cell_angle_alpha 90.00
_cell_angle_beta 90.00
_cell_angle_gamma 90.00
_symmetry_space_group_name_H-M 'P 1'
_symmetry_Int_Tables_number 1
loop_
_symmetry_equiv_pos_as_xyz
'x,y,z'
loop_
_atom_site_label
_atom_site_type_symbol
_atom_site_fract_x
_atom_site_fract_y
_atom_site_fract_z
_atom_site_occupancy
I1 I 0.000 0.500 0.000 1
I2 I 0.500 0.000 0.000 1
C1 C 0.500 0.500 0.500 1
Hg1 Hg 0.000 0.000 0.000 1
O1 O 0.000 0.000 0.500 1
```

Name the least stable of them. 2.

1.
Compound: HgTe2CI
Source: Alexandria
Functional: PBE
Structure: relaxed

```
data_HgTe2CI
_chemical_formula_sum 'Hg1 Te2 C1 I1'
_cell_length_a 6.151
_cell_length_b 6.151
_cell_length_c 3.947
_cell_angle_alpha 90.00
_cell_angle_beta 90.00
_cell_angle_gamma 90.00
_symmetry_space_group_name_H-M 'P 1'
_symmetry_Int_Tables_number 1
loop_
_symmetry_equiv_pos_as_xyz
'x,y,z'
loop_
_atom_site_label
_atom_site_type_symbol
_atom_site_fract_x
_atom_site_fract_y
_atom_site_fract_z
_atom_site_occupancy
I1 I 0.500 0.500 0.500 1
C1 C 0.000 0.000 0.500 1
Te1 Te 0.000 0.500 0.000 1
Te2 Te 0.500 0.000 0.000 1
Hg1 Hg 0.000 0.000 0.000 1
```

2.
Compound: HgTe2CI
Source: Alexandria
Functional: PBE
Structure: relaxed

```
data_HgTe2CI
_chemical_formula_sum 'Hg1 Te2 C1 I1'
_cell_length_a 4.923
_cell_length_b 4.923
_cell_length_c 5.120
_cell_angle_alpha 90.00
_cell_angle_beta 90.00
_cell_angle_gamma 90.00
_symmetry_space_group_name_H-M 'P 1'
_symmetry_Int_Tables_number 1
loop_
_symmetry_equiv_pos_as_xyz
'x,y,z'
loop_
_atom_site_label
_atom_site_type_symbol
_atom_site_fract_x
_atom_site_fract_y
_atom_site_fract_z
_atom_site_occupancy
I1 I 0.000 0.000 0.500 1
C1 C 0.000 0.000 0.000 1
Te1 Te 0.000 0.500 0.000 1
Te2 Te 0.500 0.000 0.000 1
Hg1 Hg 0.500 0.500 0.500 1
```

Name the least stable of them. 1.